Record 1
# Sm2HoCd5 | the Alexandria database | GGA-PBE | optimized geometry
# - Crystal system: tetragonal
# - Energy of formation: -0.30 eV/atom
# - Total DFT energy (no corrections): -2.62 eV per atom
data_Sm2HoCd5
_chemical_formula_sum 'Sm4 Ho2 Cd10'
_cell_length_a 5.146
_cell_length_b 5.146
_cell_length_c 15.302
_cell_angle_alpha 90.00
_cell_angle_beta 90.00
_cell_angle_gamma 90.00
_space_group_name_H-M_alt 'I 4/m m m'
_space_group_IT_number 139
_space_group_name_Hall '-I 4 2'
loop_
_atom_site_label
_atom_site_type_symbol
_atom_site_fract_x
_atom_site_fract_y
_atom_site_fract_z
_atom_site_occupancy
Sm1 Sm 0.000 0.000 0.238 1
Ho1 Ho 0.000 0.000 0.500 1
Cd1 Cd 0.000 0.000 0.000 1
Cd2 Cd 0.000 0.500 0.116 1

Record 2
# SmHoCd6 | the Alexandria database | GGA-PBE | optimized geometry
# - Crystal system: orthorhombic
# - Energy of formation: -0.29 eV/atom
# - Total DFT energy (no corrections): -2.13 eV per atom
data_SmHoCd6
_chemical_formula_sum 'Sm2 Ho2 Cd12'
_cell_length_a 4.903
_cell_length_b 7.170
_cell_length_c 10.986
_cell_angle_alpha 90.00
_cell_angle_beta 90.00
_cell_angle_gamma 90.00
_space_group_name_H-M_alt 'A m m 2'
_space_group_IT_number 38
loop_
_space_group_symop_operation_xyz
'x,y,z'
'-x,-y,z'
'-x,y,z'
'x,-y,z'
'x,y+1/2,z+1/2'
'-x,-y+1/2,z+1/2'
'-x,y+1/2,z+1/2'
'x,-y+1/2,z+1/2'
loop_
_atom_site_label
_atom_site_type_symbol
_atom_site_fract_x
_atom_site_fract_y
_atom_site_fract_z
_atom_site_occupancy
Sm1 Sm 0.000 0.000 0.000 1
Ho1 Ho 0.500 0.000 0.726 1
Cd1 Cd 0.000 0.000 0.538 1
Cd2 Cd 0.000 0.218 0.269 1
Cd3 Cd 0.500 0.000 0.192 1
Cd4 Cd 0.500 0.215 0.457 1

Record 3
# SmHo2Cd2 | the Alexandria database | GGA-PBE | optimized geometry
# - Crystal system: monoclinic
# - Energy relative to the lowest polymorph listed for this composition: 0.00 eV per formula unit
# - Energy of formation: -0.25 eV/atom
# - Total DFT energy (no corrections): -3.40 eV per atom
data_SmHo2Cd2
_chemical_formula_sum 'Sm2 Ho4 Cd4'
_cell_length_a 3.723
_cell_length_b 5.389
_cell_length_c 13.908
_cell_angle_alpha 90.00
_cell_angle_beta 97.69
_cell_angle_gamma 90.00
_space_group_name_H-M_alt 'P 1 21/m 1'
_space_group_IT_number 11
loop_
_space_group_symop_operation_xyz
'x,y,z'
'-x,-y,-z'
'-x,y+1/2,-z'
'x,-y+1/2,z'
loop_
_atom_site_label
_atom_site_type_symbol
_atom_site_fract_x
_atom_site_fract_y
_atom_site_fract_z
_atom_site_occupancy
Sm1 Sm 0.150 0.250 0.297 1
Ho1 Ho 0.047 0.750 0.092 1
Ho2 Ho 0.236 0.750 0.473 1
Cd1 Cd 0.358 0.250 0.718 1
Cd2 Cd 0.451 0.750 0.902 1

Record 4
# Sm3Ho3Cd | the Alexandria database | GGA-PBE | optimized geometry
# - Crystal system: hexagonal
# - Energy of formation: -0.04 eV/atom
# - Total DFT energy (no corrections): -4.15 eV per atom
data_Sm3Ho3Cd
_chemical_formula_sum 'Sm6 Ho6 Cd2'
_cell_length_a 9.4591
_cell_length_b 9.4591
_cell_length_c 5.5516
_cell_angle_alpha 90.00
_cell_angle_beta 90.00
_cell_angle_gamma 120.00
_space_group_name_H-M_alt 'P 63/m'
_space_group_IT_number 176
_space_group_name_Hall '-P 6c'
loop_
_atom_site_label
_atom_site_type_symbol
_atom_site_fract_x
_atom_site_fract_y
_atom_site_fract_z
_atom_site_occupancy
Sm1 Sm 0.1068 0.4757 0.2500 1
Ho1 Ho 0.0591 0.2382 0.7500 1
Cd1 Cd 0.3333 0.6667 0.7500 1

Record 5
# Sm2HoCd3 | the Alexandria database | GGA-PBE | optimized geometry
# - Crystal system: trigonal
# - Energy of formation: -0.31 eV/atom
# - Total DFT energy (no corrections): -3.11 eV per atom
data_Sm2HoCd3
_chemical_formula_sum 'Sm2 Ho1 Cd3'
_cell_length_a 5.3526
_cell_length_b 5.3526
_cell_length_c 6.5683
_cell_angle_alpha 90.00
_cell_angle_beta 90.00
_cell_angle_gamma 120.00
_space_group_name_H-M_alt 'P -3 m 1'
_space_group_IT_number 164
_space_group_name_Hall '-P 3 2"'
loop_
_atom_site_label
_atom_site_type_symbol
_atom_site_fract_x
_atom_site_fract_y
_atom_site_fract_z
_atom_site_occupancy
Sm1 Sm 0.3333 0.6667 0.1729 1
Ho1 Ho 0.0000 0.0000 0.5000 1
Cd1 Cd 0.0000 0.0000 0.0000 1
Cd2 Cd 0.3333 0.6667 0.6666 1

Record 6
# SmHo2Cd3 | the Alexandria database | GGA-PBE | optimized geometry
# - Crystal system: orthorhombic
# - Energy of formation: -0.31 eV/atom
# - Total DFT energy (no corrections): -3.08 eV per atom
data_SmHo2Cd3
_chemical_formula_sum 'Sm4 Ho8 Cd12'
_cell_length_a 5.288
_cell_length_b 15.885
_cell_length_c 7.584
_cell_angle_alpha 90.00
_cell_angle_beta 90.00
_cell_angle_gamma 90.00
_space_group_name_H-M_alt 'C m m m'
_space_group_IT_number 65
_space_group_name_Hall '-C 2 2'
loop_
_atom_site_label
_atom_site_type_symbol
_atom_site_fract_x
_atom_site_fract_y
_atom_site_fract_z
_atom_site_occupancy
Sm1 Sm 0.000 0.166 0.000 1
Ho1 Ho 0.000 0.168 0.500 1
Ho2 Ho 0.000 0.500 0.000 1
Ho3 Ho 0.000 0.500 0.500 1
Cd1 Cd 0.000 0.000 0.259 1
Cd2 Cd 0.000 0.335 0.258 1

Record 7
# Sm3Ho4Cd | the Alexandria database | GGA-PBE | optimized geometry
# - Crystal system: tetragonal
# - Energy relative to the lowest polymorph listed for this composition: 0.00 eV per formula unit
# - Energy of formation: -0.07 eV/atom
# - Total DFT energy (no corrections): -4.24 eV per atom
data_Sm3Ho4Cd
_chemical_formula_sum 'Sm3 Ho4 Cd1'
_cell_length_a 3.581
_cell_length_b 3.581
_cell_length_c 19.206
_cell_angle_alpha 90.00
_cell_angle_beta 90.00
_cell_angle_gamma 90.00
_space_group_name_H-M_alt 'P 4/m m m'
_space_group_IT_number 123
_space_group_name_Hall '-P 4 2'
loop_
_atom_site_label
_atom_site_type_symbol
_atom_site_fract_x
_atom_site_fract_y
_atom_site_fract_z
_atom_site_occupancy
Sm1 Sm 0.000 0.000 0.000 1
Sm2 Sm 0.000 0.000 0.263 1
Ho1 Ho 0.500 0.500 0.132 1
Ho2 Ho 0.500 0.500 0.394 1
Cd1 Cd 0.000 0.000 0.500 1

Record 8
# SmHo5Cd6 | the Alexandria database | GGA-PBE | optimized geometry
# - Crystal system: orthorhombic
# - Energy of formation: -0.32 eV/atom
# - Total DFT energy (no corrections): -3.07 eV per atom
data_SmHo5Cd6
_chemical_formula_sum 'Sm2 Ho10 Cd12'
_cell_length_a 5.278
_cell_length_b 15.877
_cell_length_c 7.512
_cell_angle_alpha 90.00
_cell_angle_beta 90.00
_cell_angle_gamma 90.00
_space_group_name_H-M_alt 'C m m m'
_space_group_IT_number 65
_space_group_name_Hall '-C 2 2'
loop_
_atom_site_label
_atom_site_type_symbol
_atom_site_fract_x
_atom_site_fract_y
_atom_site_fract_z
_atom_site_occupancy
Sm1 Sm 0.000 0.000 0.000 1
Ho1 Ho 0.000 0.000 0.500 1
Ho2 Ho 0.000 0.332 0.000 1
Ho3 Ho 0.000 0.335 0.500 1
Cd1 Cd 0.000 0.169 0.254 1
Cd2 Cd 0.000 0.500 0.253 1